Mg2Tl: optimized geometry, PBE.

Geometry as POSCAR:
```
Mg2Tl
1.0
-1.664 1.664 6.619
1.664 -1.664 6.619
1.664 1.664 -6.619
Mg Tl
2 1
direct
0.169 0.169 0.000
0.831 0.831 0.000
0.500 0.500 0.000
```

crystal system	tetragonal
ΔH_f (0 K)	0.00	eV per atom